Entry 1:
DFT (PBE) results for a relaxed structure of Ba2BiH.

a b c (Å): 4.1866 4.1866 8.1285
angles (deg): 90.00 90.00 90.00
Last column: nearest neighbours and their distance in Å.
Element x y z (fractional)
Ba1 0.0000 0.0000 0.2533  4 Bi 3.58, 4 H 3.61
Ba2 0.0000 0.0000 0.7467  4 Bi 3.58, 4 H 3.61
H1 0.5000 0.5000 0.0000  8 Ba 3.61
Bi1 0.5000 0.5000 0.5000  8 Ba 3.58

Output
E in eV for the cell shown: -12.7
Calculated volume in Å³ per cell: 142.5
Magnetization in μB/atom: 0.000

=====

Entry 2:
DFT (PBE) results for a relaxed structure of Ba3BiH.

a b c (Å): 5.5977 5.5977 5.5977
angles (deg): 90.00 90.00 90.00
Last column: nearest neighbours and their distance in Å.
Element x y z (fractional)
Ba1 0.0000 0.0000 0.5000  2 H 2.80
Ba2 0.5000 0.0000 0.0000  2 H 2.80
Ba3 0.0000 0.5000 0.0000  2 H 2.80
H1 0.0000 0.0000 0.0000  6 Ba 2.80
Bi1 0.5000 0.5000 0.5000  12 Ba 3.96

Output
E in eV for the cell shown: -15.4
Calculated volume in Å³ per cell: 175.4
Magnetization in μB/atom: 0.319